#a
LaNpC PBE-GGA optimized geometry; Fermi-level density of states = 8.14 states/eV/cell; space-group type = P3m1, No. 156
1.0
3.4783 0.0000 0.0000
-1.7392 3.0123 0.0000
0.0000 0.0000 6.6011
La Np C
1 1 1
direct
0.0000 0.0000 0.0000
0.3333 0.6667 0.5514
0.6667 0.3333 0.7451

---

#b
LaNpC PBE-GGA optimized geometry; Fermi-level density of states = 5.00 states/eV/cell; space-group type = Cmcm, No. 63
1.0
1.9635 -6.9354 0.0000
1.9635 6.9354 0.0000
0.0000 0.0000 4.6524
La Np C
2 2 2
direct
0.1695 0.8305 0.7500
0.8305 0.1695 0.2500
0.5000 0.5000 0.0000
0.5000 0.5000 0.5000
0.3566 0.6434 0.7500
0.6434 0.3566 0.2500

---

Which structure is most stable, and how do the rest compare? From most to least stable: #a, #b.

---

#a
La2CO5 PBE-GGA optimized geometry; Fermi-level density of states = 0.00 states/eV/cell; space-group type = C2/c, No. 15
1.0
6.1467 -3.5497 0.0000
6.1467 3.5497 0.0000
-4.0979 0.0000 16.0231
La C O
12 6 30
direct
0.0358 0.8604 0.5945
0.1396 0.9642 0.9055
0.2032 0.3645 0.0941
0.3054 0.4679 0.4032
0.3645 0.2032 0.5941
0.4679 0.3054 0.9032
0.5321 0.6946 0.0968
0.6355 0.7968 0.4059
0.6946 0.5321 0.5968
0.7968 0.6355 0.9059
0.8604 0.0358 0.0945
0.9642 0.1396 0.4055
0.0309 0.5839 0.7502
0.1969 0.8031 0.2500
0.4161 0.9691 0.7498
0.5839 0.0309 0.2502
0.8031 0.1969 0.7500
0.9691 0.4161 0.2498
0.0151 0.9849 0.2500
0.0216 0.1842 0.5587
0.0919 0.5599 0.6784
0.1451 0.3141 0.9411
0.1455 0.6070 0.8205
0.1507 0.4153 0.2484
0.1842 0.0216 0.0587
0.2616 0.6914 0.1789
0.3086 0.7385 0.3211
0.3141 0.1451 0.4411
0.3486 0.5173 0.5519
0.3930 0.8545 0.6795
0.4153 0.1507 0.7484
0.4401 0.9081 0.8216
0.4827 0.6514 0.9481
0.5173 0.3486 0.0519
0.5599 0.0919 0.1784
0.5847 0.8493 0.2516
0.6070 0.1455 0.3205
0.6514 0.4827 0.4481
0.6859 0.8549 0.5589
0.6914 0.2616 0.6789
0.7385 0.3086 0.8211
0.8158 0.9784 0.9413
0.8493 0.5847 0.7516
0.8545 0.3930 0.1795
0.8549 0.6859 0.0589
0.9081 0.4401 0.3216
0.9784 0.8158 0.4413
0.9849 0.0151 0.7500

---

#b
La2CO5 PBE-GGA optimized geometry; Fermi-level density of states = 0.00 states/eV/cell; space-group type = Ama2, No. 40
1.0
16.0509 0.0000 0.0000
0.0000 3.5161 2.0694
0.0000 -3.5161 2.0694
La C O
4 2 10
direct
0.0948 0.1669 0.8330
0.4052 0.1669 0.8330
0.5948 0.8330 0.1669
0.9052 0.8330 0.1669
0.2500 0.4252 0.3548
0.7500 0.3548 0.4252
0.0564 0.8336 0.1690
0.1784 0.5146 0.5275
0.2500 0.2379 0.9941
0.3216 0.5146 0.5275
0.4436 0.8336 0.1690
0.5564 0.1690 0.8336
0.6784 0.5275 0.5146
0.7500 0.9941 0.2379
0.8216 0.5275 0.5146
0.9436 0.1690 0.8336

---

Which structure is most stable, and how do the rest compare? From most to least stable: #a, #b.

---

#a
La2CO PBE-GGA optimized geometry; Fermi-level density of states = 2.97 states/eV/cell; space-group type = R-3m, No. 166
1.0
1.9043 1.0994 6.1235
-1.9043 1.0994 6.1235
0.0000 -2.1989 6.1235
La C O
2 1 1
direct
0.2490 0.2490 0.2490
0.7510 0.7510 0.7510
0.5000 0.5000 0.5000
0.0000 0.0000 0.0000

---

#b
La2CO PBE-GGA optimized geometry; space-group type = R3m, No. 160
1.0
1.8738 1.0818 6.5093
-1.8738 1.0818 6.5093
0.0000 -2.1637 6.5093
La C O
2 1 1
direct
0.0000 0.0000 0.0000
0.1762 0.1762 0.1762
0.5990 0.5990 0.5990
0.7804 0.7804 0.7804

---

#c
La2CO PBE-GGA optimized geometry; Fermi-level density of states = 2.70 states/eV/cell; space-group type = Fm-3m, No. 225
1.0
0.0000 3.2105 3.2105
3.2105 0.0000 3.2105
3.2105 3.2105 0.0000
La C O
2 1 1
direct
0.2500 0.2500 0.2500
0.7500 0.7500 0.7500
0.0000 0.0000 0.0000
0.5000 0.5000 0.5000

---

#d
La2CO PBE-GGA optimized geometry; Fermi-level density of states = 0.00 states/eV/cell; space-group type = I-42d, No. 122
1.0
-2.7926 2.7926 5.8465
2.7926 -2.7926 5.8465
2.7926 2.7926 -5.8465
La C O
4 2 2
direct
0.1191 0.6250 0.9941
0.3750 0.3691 0.4941
0.6309 0.1250 0.0059
0.8750 0.8809 0.5059
0.2500 0.7500 0.5000
0.5000 0.5000 0.0000
0.0000 0.0000 0.0000
0.7500 0.2500 0.5000

---

Which structure is most stable, and how do the rest compare? From most to least stable: #a, #d, #b, #c.

---

#a
La2C2O PBE-GGA optimized geometry; Fermi-level density of states = 3.48 states/eV/cell; space-group type = I4/mmm, No. 139
1.0
-2.3615 2.3615 3.7242
2.3615 -2.3615 3.7242
2.3615 2.3615 -3.7242
La C O
2 2 1
direct
0.2500 0.7500 0.5000
0.7500 0.2500 0.5000
0.0878 0.0878 0.0000
0.9122 0.9122 0.0000
0.5000 0.5000 0.0000

---

#b
La2C2O PBE-GGA optimized geometry; Fermi-level density of states = 4.23 states/eV/cell; space-group type = P4/mbm, No. 127
1.0
6.8670 0.0000 0.0000
0.0000 6.8670 0.0000
0.0000 0.0000 3.7972
La C O
4 4 2
direct
0.2034 0.2966 0.0000
0.2966 0.7966 0.0000
0.7034 0.2034 0.0000
0.7966 0.7034 0.0000
0.0686 0.5686 0.5000
0.4314 0.0686 0.5000
0.5686 0.9314 0.5000
0.9314 0.4314 0.5000
0.0000 0.0000 0.0000
0.5000 0.5000 0.0000

---

Which structure is most stable, and how do the rest compare? From most to least stable: #b, #a.

---

#a
La2C2O PBE-GGA optimized geometry; Fermi-level density of states = 6.13 states/eV/cell; space-group type = P4/mbm, No. 127
1.0
6.9229 0.0000 0.0000
0.0000 6.9229 0.0000
0.0000 0.0000 3.3321
La C O
4 4 2
direct
0.2155 0.2845 0.0000
0.2845 0.7845 0.0000
0.7155 0.2155 0.0000
0.7845 0.7155 0.0000
0.0674 0.5674 0.5000
0.4326 0.0674 0.5000
0.5674 0.9326 0.5000
0.9326 0.4326 0.5000
0.0000 0.0000 0.5000
0.5000 0.5000 0.5000

---

#b
La2C2O PBE-GGA optimized geometry; Fermi-level density of states = 3.57 states/eV/cell; space-group type = C2/c, No. 15
1.0
6.8705 -2.1789 0.0000
6.8705 2.1789 0.0000
-2.1946 0.0000 6.3877
La C O
4 4 2
direct
0.0363 0.7047 0.9048
0.2953 0.9637 0.5952
0.7047 0.0363 0.4048
0.9637 0.2953 0.0952
0.1461 0.4022 0.4796
0.4022 0.1461 0.9796
0.5978 0.8539 0.0204
0.8539 0.5978 0.5204
0.0362 0.9638 0.2500
0.9638 0.0362 0.7500

---

Which structure is most stable, and how do the rest compare? From most to least stable: #b, #a.

---

#a
La2SiOsC PBE-GGA optimized geometry; Fermi-level density of states = 1.67 states/eV/cell; space-group type = P4/mmm, No. 123
1.0
5.2787 0.0000 0.0000
0.0000 5.2787 0.0000
0.0000 0.0000 3.9370
La Si Os C
2 1 1 1
direct
0.0000 0.5000 0.0000
0.5000 0.0000 0.0000
0.0000 0.0000 0.5000
0.5000 0.5000 0.5000
0.5000 0.5000 0.0000

---

#b
La2SiOsC PBE-GGA optimized geometry; Fermi-level density of states = 6.63 states/eV/cell; space-group type = P2_1/m, No. 11
1.0
6.4973 0.0000 0.0000
0.0000 4.1815 0.0000
-3.0502 0.0000 8.4030
La Si Os C
4 2 2 2
direct
0.2077 0.2500 0.3914
0.2296 0.2500 0.9701
0.7704 0.7500 0.0299
0.7923 0.7500 0.6086
0.3166 0.7500 0.6976
0.6834 0.2500 0.3024
0.4942 0.7500 0.2536
0.5058 0.2500 0.7464
0.1880 0.7500 0.1751
0.8120 0.2500 0.8249

---

Which structure is most stable, and how do the rest compare? From most to least stable: #b, #a.

---

#a
LaP2CS PBE-GGA optimized geometry; Fermi-level density of states = 3.54 states/eV/cell; space-group type = P4/mmm, No. 123
1.0
4.0764 0.0000 0.0000
0.0000 4.0764 0.0000
0.0000 0.0000 5.2815
La P C S
1 2 1 1
direct
0.0000 0.0000 0.0000
0.0000 0.5000 0.5000
0.5000 0.0000 0.5000
0.5000 0.5000 0.5000
0.5000 0.5000 0.0000

---

#b
LaP2CS PBE-GGA optimized geometry; Fermi-level density of states = 9.27 states/eV/cell; space-group type = P4/mmm, No. 123
1.0
5.7463 0.0000 0.0000
0.0000 5.7463 0.0000
0.0000 0.0000 5.4172
La P C S
1 2 1 1
direct
0.0000 0.0000 0.0000
0.0000 0.5000 0.0000
0.5000 0.0000 0.0000
0.5000 0.5000 0.5000
0.0000 0.0000 0.5000

---

Which structure is most stable, and how do the rest compare? From most to least stable: #a, #b.

---

#a
LaPCS2 PBE-GGA optimized geometry; Fermi-level density of states = 9.85 states/eV/cell; space-group type = P4/mmm, No. 123
1.0
5.5788 0.0000 0.0000
0.0000 5.5788 0.0000
0.0000 0.0000 5.9241
La P C S
1 1 1 2
direct
0.0000 0.0000 0.0000
0.0000 0.0000 0.5000
0.5000 0.5000 0.5000
0.0000 0.5000 0.0000
0.5000 0.0000 0.0000

---

#b
LaPCS2 PBE-GGA optimized geometry; Fermi-level density of states = 2.73 states/eV/cell; space-group type = P4/mmm, No. 123
1.0
4.6895 0.0000 0.0000
0.0000 4.6895 0.0000
0.0000 0.0000 3.9071
La P C S
1 1 1 2
direct
0.0000 0.0000 0.0000
0.5000 0.5000 0.0000
0.5000 0.5000 0.5000
0.0000 0.5000 0.5000
0.5000 0.0000 0.5000

---

Which structure is most stable, and how do the rest compare? From most to least stable: #b, #a.

---

#a
LaPbC3 PBE-GGA optimized geometry; Fermi-level density of states = 4.47 states/eV/cell; space-group type = Pm-3m, No. 221
1.0
4.6304 0.0000 0.0000
0.0000 4.6304 0.0000
0.0000 0.0000 4.6304
La Pb C
1 1 3
direct
0.0000 0.0000 0.0000
0.5000 0.5000 0.5000
0.0000 0.0000 0.5000
0.0000 0.5000 0.0000
0.5000 0.0000 0.0000

---

#b
LaPbC3 PBE-GGA optimized geometry; Fermi-level density of states = 4.03 states/eV/cell; space-group type = Pm-3m, No. 221
1.0
4.4419 0.0000 0.0000
0.0000 4.4419 0.0000
0.0000 0.0000 4.4419
La Pb C
1 1 3
direct
0.0000 0.0000 0.0000
0.5000 0.5000 0.5000
0.0000 0.5000 0.5000
0.5000 0.0000 0.5000
0.5000 0.5000 0.0000

---

Which structure is most stable, and how do the rest compare? From most to least stable: #b, #a.

---

#a
LaPd3C PBE-GGA optimized geometry; Fermi-level density of states = 3.00 states/eV/cell; space-group type = Pm-3m, No. 221
1.0
5.1569 0.0000 0.0000
0.0000 5.1569 0.0000
0.0000 0.0000 5.1569
La Pd C
1 3 1
direct
0.0000 0.0000 0.0000
0.0000 0.0000 0.5000
0.0000 0.5000 0.0000
0.5000 0.0000 0.0000
0.5000 0.5000 0.5000

---

#b
LaPd3C PBE-GGA optimized geometry; Fermi-level density of states = 6.25 states/eV/cell; space-group type = Pm-3m, No. 221
1.0
4.3863 0.0000 0.0000
0.0000 4.3863 0.0000
0.0000 0.0000 4.3863
La Pd C
1 3 1
direct
0.0000 0.0000 0.0000
0.0000 0.5000 0.5000
0.5000 0.0000 0.5000
0.5000 0.5000 0.0000
0.5000 0.5000 0.5000

---

Which structure is most stable, and how do the rest compare? From most to least stable: #b, #a.

---

#a
LaPdC3 PBE-GGA optimized geometry; Fermi-level density of states = 5.29 states/eV/cell; space-group type = Pm-3m, No. 221
1.0
4.4682 0.0000 0.0000
0.0000 4.4682 0.0000
0.0000 0.0000 4.4682
La Pd C
1 1 3
direct
0.0000 0.0000 0.0000
0.5000 0.5000 0.5000
0.0000 0.0000 0.5000
0.0000 0.5000 0.0000
0.5000 0.0000 0.0000

---

#b
LaPdC3 PBE-GGA optimized geometry; Fermi-level density of states = 5.84 states/eV/cell; space-group type = Pm-3m, No. 221
1.0
4.1299 0.0000 0.0000
0.0000 4.1299 0.0000
0.0000 0.0000 4.1299
La Pd C
1 1 3
direct
0.0000 0.0000 0.0000
0.5000 0.5000 0.5000
0.0000 0.5000 0.5000
0.5000 0.0000 0.5000
0.5000 0.5000 0.0000

---

Which structure is most stable, and how do the rest compare? From most to least stable: #b, #a.